Entry from Alexandria via LeMat-Bulk: a geometry-optimized K2ReTe structure (PBE-GGA).

- Uncorrected formation energy: 935 meV/atom
- Density: 6.5 g/cm3
- Magnetization: 0.3 Bohr magnetons per cell
- SG: R-3m

a b c (Å): 11.868 11.868 11.868
angles (deg): 15.26 15.26 15.26
Element x y z (fractional)
K 0.247 0.247 0.247
K 0.753 0.753 0.753
Re 0.500 0.500 0.500
Te 0.000 0.000 0.000

***

Entry from Alexandria via LeMat-Bulk: a geometry-optimized K2ReTe2 structure (PBE-GGA).

- Uncorrected formation energy: 686 meV/atom
- Polymorph energy (0 for the lowest one): 0.000 eV per atom
- Density: 5.1 g/cm3
- Magnetization: 9.9 Bohr magnetons per cell
- SG: P4/mbm

a b c (Å): 10.304 10.304 3.217
angles (deg): 90.00 90.00 90.00
Element x y z (fractional)
K 0.128 0.372 0.000
K 0.372 0.872 0.000
K 0.628 0.128 0.000
K 0.872 0.628 0.000
Re 0.000 0.000 0.000
Re 0.500 0.500 0.000
Te 0.170 0.670 0.500
Te 0.330 0.170 0.500
Te 0.670 0.830 0.500
Te 0.830 0.330 0.500

***

Entry from Alexandria via LeMat-Bulk: a geometry-optimized K2ReTe structure (PBE-GGA).

- Uncorrected formation energy: 820 meV/atom
- Density: 6.3 g/cm3
- Magnetization: 0.0 Bohr magnetons per cell
- SG: Cmmm

a b c (Å): 3.037 3.037 11.288
angles (deg): 90.00 90.00 91.18
Element x y z (fractional)
K 0.000 0.000 0.242
K 0.000 0.000 0.758
Re 0.500 0.500 0.000
Te 0.500 0.500 0.500

***

Entry from Alexandria via LeMat-Bulk: a geometry-optimized K2ReTe structure (PBE-GGA).

- Uncorrected formation energy: 890 meV/atom
- Density: 6.4 g/cm3
- Magnetization: 1.0 Bohr magnetons per cell
- SG: Cmmm

a b c (Å): 6.357 6.357 2.995
angles (deg): 90.00 90.00 122.25
Element x y z (fractional)
K 0.000 0.500 0.000
K 0.500 0.000 0.000
Re 0.000 0.000 0.500
Te 0.500 0.500 0.500

***

Entry from Alexandria via LeMat-Bulk: a geometry-optimized K2ReTe structure (PBE-GGA).

- Uncorrected formation energy: 1026 meV/atom
- Density: 5.5 g/cm3
- Magnetization: 4.0 Bohr magnetons per cell
- SG: F-43m

a b c (Å): 5.504 5.504 5.504
angles (deg): 60.00 60.00 60.00
Element x y z (fractional)
K 0.000 0.000 0.000
K 0.250 0.250 0.250
Re 0.750 0.750 0.750
Te 0.500 0.500 0.500

***

Entry from Alexandria via LeMat-Bulk: a geometry-optimized KRe3Te structure (PBE-GGA).

- Uncorrected formation energy: 3820 meV/atom
- Polymorph energy (0 for the lowest one): 1.362 eV per atom
- Density: 11.9 g/cm3
- Magnetization: 1.7 Bohr magnetons per cell
- SG: Pm-3m

a b c (Å): 4.663 4.663 4.663
angles (deg): 90.00 90.00 90.00
Element x y z (fractional)
K 0.000 0.000 0.000
Re 0.000 0.000 0.500
Re 0.000 0.500 0.000
Re 0.500 0.000 0.000
Te 0.500 0.500 0.500

***

Entry from Alexandria via LeMat-Bulk: a geometry-optimized K2ReTe structure (PBE-GGA).

- Uncorrected formation energy: 847 meV/atom
- Density: 5.2 g/cm3
- Magnetization: 3.4 Bohr magnetons per cell
- SG: P4/mmm

a b c (Å): 4.647 4.647 5.801
angles (deg): 90.00 90.00 90.00
Element x y z (fractional)
K 0.000 0.000 0.250
K 0.000 0.000 0.750
Re 0.500 0.500 0.000
Te 0.500 0.500 0.500

***

Entry from Alexandria via LeMat-Bulk: a geometry-optimized K2ReTe structure (PBE-GGA).

- Uncorrected formation energy: 491 meV/atom
- Density: 5.0 g/cm3
- Magnetization: 0.0 Bohr magnetons per cell
- SG: P4mm

a b c (Å): 3.512 3.512 10.466
angles (deg): 90.00 90.00 90.00
Element x y z (fractional)
K 0.000 0.000 0.000
K 0.500 0.500 0.405
Re 0.000 0.000 0.647
Te 0.500 0.500 0.751

***

Entry from Alexandria via LeMat-Bulk: a geometry-optimized K2ReTe structure (PBE-GGA).

- Uncorrected formation energy: 521 meV/atom
- Density: 4.0 g/cm3
- Magnetization: 0.7 Bohr magnetons per cell
- SG: Cm

a b c (Å): 4.496 4.496 9.721
angles (deg): 102.82 102.82 59.99
Element x y z (fractional)
K 0.000 0.000 0.000
K 0.172 0.172 0.538
Re 0.419 0.419 0.269
Te 0.752 0.752 0.269

***

Entry from Alexandria via LeMat-Bulk: a geometry-optimized KReTe3 structure (PBE-GGA).

- Uncorrected formation energy: 2349 meV/atom
- Polymorph energy (0 for the lowest one): 2.581 eV per atom
- Density: 5.3 g/cm3
- Magnetization: 0.2 Bohr magnetons per cell
- SG: Pm-3m

a b c (Å): 5.748 5.748 5.748
angles (deg): 90.00 90.00 90.00
Element x y z (fractional)
K 0.000 0.000 0.000
Re 0.500 0.500 0.500
Te 0.000 0.000 0.500
Te 0.000 0.500 0.000
Te 0.500 0.000 0.000

***

Entry from Alexandria via LeMat-Bulk: a geometry-optimized K2ReTe2 structure (PBE-GGA).

- Uncorrected formation energy: 907 meV/atom
- Polymorph energy (0 for the lowest one): 0.222 eV per atom
- Density: 4.4 g/cm3
- Magnetization: 4.1 Bohr magnetons per cell
- SG: I4/mmm

a b c (Å): 10.213 10.213 10.213
angles (deg): 154.68 154.68 36.11
Element x y z (fractional)
K 0.106 0.106 0.000
K 0.894 0.894 0.000
Re 0.500 0.500 0.000
Te 0.250 0.750 0.500
Te 0.750 0.250 0.500

***

Entry from Alexandria via LeMat-Bulk: a geometry-optimized KRe3Te structure (PBE-GGA).

- Uncorrected formation energy: 2457 meV/atom
- Polymorph energy (0 for the lowest one): 0.000 eV per atom
- Density: 9.7 g/cm3
- Magnetization: 3.1 Bohr magnetons per cell
- SG: Pm-3m

a b c (Å): 4.989 4.989 4.989
angles (deg): 90.00 90.00 90.00
Element x y z (fractional)
K 0.000 0.000 0.000
Re 0.000 0.500 0.500
Re 0.500 0.000 0.500
Re 0.500 0.500 0.000
Te 0.500 0.500 0.500

***

Entry from Alexandria via LeMat-Bulk: a geometry-optimized K2ReTe structure (PBE-GGA).

- Uncorrected formation energy: 902 meV/atom
- Density: 6.1 g/cm3
- Magnetization: 2.6 Bohr magnetons per cell
- SG: Pmmm

a b c (Å): 4.390 4.436 5.490
angles (deg): 90.00 90.00 90.00
Element x y z (fractional)
K 0.000 0.000 0.000
K 0.500 0.500 0.000
Re 0.000 0.500 0.500
Te 0.500 0.000 0.500

***

Entry from Alexandria via LeMat-Bulk: a geometry-optimized KReTe3 structure (PBE-GGA).

- Uncorrected formation energy: 208 meV/atom
- Polymorph energy (0 for the lowest one): 0.440 eV per atom
- Density: 6.3 g/cm3
- Magnetization: 1.8 Bohr magnetons per cell
- SG: Pm-3m

a b c (Å): 5.434 5.434 5.434
angles (deg): 90.00 90.00 90.00
Element x y z (fractional)
K 0.000 0.000 0.000
Re 0.500 0.500 0.500
Te 0.000 0.500 0.500
Te 0.500 0.000 0.500
Te 0.500 0.500 0.000

***

Entry from Alexandria via LeMat-Bulk: a geometry-optimized K2ReTe structure (PBE-GGA).

- Uncorrected formation energy: 905 meV/atom
- Density: 5.9 g/cm3
- Magnetization: 2.9 Bohr magnetons per cell
- SG: Immm

a b c (Å): 6.323 6.323 6.323
angles (deg): 138.65 138.24 60.23
Element x y z (fractional)
K 0.250 0.250 0.000
K 0.750 0.750 0.000
Re 0.500 0.000 0.500
Te 0.000 0.500 0.500

***

Entry from Alexandria via LeMat-Bulk: a geometry-optimized K2ReTe structure (PBE-GGA).

- Uncorrected formation energy: 727 meV/atom
- Density: 4.6 g/cm3
- Magnetization: 0.0 Bohr magnetons per cell
- SG: Pm

a b c (Å): 3.250 4.542 9.660
angles (deg): 90.00 93.66 90.00
Element x y z (fractional)
K 0.000 0.000 0.000
K 0.107 0.500 0.573
Re 0.543 0.500 0.229
Te 0.566 0.000 0.354

***

Entry from Alexandria via LeMat-Bulk: a geometry-optimized K2ReTe structure (PBE-GGA).

- Uncorrected formation energy: 889 meV/atom
- Density: 6.3 g/cm3
- Magnetization: 1.2 Bohr magnetons per cell
- SG: Pmmm

a b c (Å): 3.015 5.570 6.159
angles (deg): 90.00 90.00 90.00
Element x y z (fractional)
K 0.000 0.000 0.247
K 0.000 0.000 0.753
Re 0.500 0.500 0.000
Te 0.500 0.500 0.500

***

Entry from Alexandria via LeMat-Bulk: a geometry-optimized KVRe2Te structure (PBE-GGA).

- Uncorrected formation energy: 2476 meV/atom
- Density: 7.3 g/cm3
- Magnetization: 1.5 Bohr magnetons per cell
- SG: P4/mmm

a b c (Å): 4.907 4.907 5.591
angles (deg): 90.00 90.00 90.00
Element x y z (fractional)
K 0.000 0.000 0.000
V 0.500 0.500 0.000
Re 0.000 0.500 0.500
Re 0.500 0.000 0.500
Te 0.000 0.000 0.500

***

Entry from Alexandria via LeMat-Bulk: a geometry-optimized KV2ReTe structure (PBE-GGA).

- Uncorrected formation energy: 2060 meV/atom
- Density: 4.5 g/cm3
- Magnetization: 11.4 Bohr magnetons per cell
- SG: P4/mmm

a b c (Å): 5.188 5.188 6.237
angles (deg): 90.00 90.00 90.00
Element x y z (fractional)
K 0.000 0.000 0.000
V 0.000 0.500 0.500
V 0.500 0.000 0.500
Re 0.500 0.500 0.000
Te 0.000 0.000 0.500

***

Entry from Alexandria via LeMat-Bulk: a geometry-optimized KYRe2Te structure (PBE-GGA).

- Uncorrected formation energy: 2501 meV/atom
- Density: 8.5 g/cm3
- Magnetization: 2.1 Bohr magnetons per cell
- SG: P4/mmm

a b c (Å): 4.662 4.662 5.637
angles (deg): 90.00 90.00 90.00
Element x y z (fractional)
K 0.000 0.000 0.000
Y 0.500 0.500 0.500
Re 0.000 0.500 0.000
Re 0.500 0.000 0.000
Te 0.000 0.000 0.500